[1]
DFT (PBE) results for a relaxed structure of RbIn4Hg2.

* DFT formation energy: -0.12 eV per atom
* calculated density: 7.34 g/cm³

Structure (CIF):
```
data_RbIn4Hg2
_space_group_name_H-M_alt 'C m m m'
_space_group_IT_number 65
_space_group_name_Hall '-C 2 2'
_cell_length_a 4.7051
_cell_length_b 18.8384
_cell_length_c 4.8267
_cell_angle_alpha 90.00
_cell_angle_beta 90.00
_cell_angle_gamma 90.00
loop_
_atom_site_label
_atom_site_type_symbol
_atom_site_fract_x
_atom_site_fract_y
_atom_site_fract_z
_atom_site_occupancy
Rb1 Rb 0.0000 0.0000 0.0000 1
In1 In 0.0000 0.1893 0.5000 1
In2 In 0.0000 0.3132 0.0000 1
Hg1 Hg 0.0000 0.4200 0.5000 1
```

---

[2]
DFT (PBE) results for a relaxed structure of TePt2Rh.

* uncorrected formation energy: 0.10 eV/atom
* calculated density: 14.81 g/cm³

Structure (CIF):
```
data_TePt2Rh
_space_group_name_H-M_alt 'P 4/m m m'
_space_group_IT_number 123
_space_group_name_Hall '-P 4 2'
_cell_length_a 3.5468
_cell_length_b 3.5468
_cell_length_c 5.5314
_cell_angle_alpha 90.00
_cell_angle_beta 90.00
_cell_angle_gamma 90.00
loop_
_atom_site_label
_atom_site_type_symbol
_atom_site_fract_x
_atom_site_fract_y
_atom_site_fract_z
_atom_site_occupancy
Te1 Te 0.0000 0.0000 0.0000 1
Pt1 Pt 0.5000 0.5000 0.2612 1
Rh1 Rh 0.0000 0.0000 0.5000 1
```